Entry 1:
The following is a GGA-PBE calculation of a geometry-optimized PrTm5In3 structure, from the Alexandria database.

Its total energy is -4.27 eV per atom.

The space group is P6_3/mcm (No. 193) and the conventional cell measures 9.2924, 9.2924 and 6.7019 Å, with angles of 90.00, 90.00 and 120.00 degrees. The asymmetric unit holds Pr at (0.0000, 0.0000, 0.0000), Tm at (0.0000, 0.3303, 0.2500), Tm at (0.3333, 0.6667, 0.0000) and In at (0.0000, 0.3418, 0.7500).

Entry 2:
The following is a GGA-PBE calculation of a geometry-optimized Pr3TmIn structure, from the Alexandria database.

Its total energy is -4.18 eV per atom. The energy relative to the lowest polymorph listed for this composition comes out at 0.312 eV per atom.

The space group is Ima2 (No. 46) and the conventional cell measures 11.508, 8.397 and 7.042 Å, with angles of 90.00, 90.00 and 90.00 degrees. The asymmetric unit holds Pr at (0.028, 0.249, 0.000), Pr at (0.250, 0.067, 0.756), Tm at (0.250, 0.750, 0.014) and In at (0.250, 0.056, 0.258).

Entry 3:
The following is a GGA-PBE calculation of a geometry-optimized Pr6TmIn4 structure, from the Alexandria database.

Its total energy is -4.22 eV per atom.

The space group is I-42m (No. 121) and the conventional cell measures 6.649, 6.649 and 17.006 Å, with angles of 90.00, 90.00 and 90.00 degrees. The asymmetric unit holds Pr at (0.000, 0.500, 0.000), Pr at (0.237, 0.237, 0.178), Tm at (0.000, 0.000, 0.500) and In at (0.238, 0.238, 0.367).

Entry 4:
The following is a GGA-PBE calculation of a geometry-optimized Pr4TmIn3 structure, from the Alexandria database.

Its total energy is -4.30 eV per atom. The energy relative to the lowest polymorph listed for this composition comes out at 0.018 eV per atom.

The space group is R-3m (No. 166, hexagonal axes) and the conventional cell measures 5.5324, 5.5324 and 27.6489 Å, with angles of 90.00, 90.00 and 120.00 degrees. The asymmetric unit holds Pr at (0.0000, 0.0000, 0.1190), Pr at (0.0000, 0.0000, 0.3698), Tm at (0.0000, 0.0000, 0.5000), In at (0.0000, 0.0000, 0.0000) and In at (0.0000, 0.0000, 0.2420).

Entry 5:
The following is a GGA-PBE calculation of a geometry-optimized PrTm3In structure, from the Alexandria database.

Its total energy is -4.12 eV per atom. The energy relative to the lowest polymorph listed for this composition comes out at 0.227 eV per atom.

The space group is P6_3/mmc (No. 194) and the conventional cell measures 7.9570, 7.9570 and 5.9815 Å, with angles of 90.00, 90.00 and 120.00 degrees. The asymmetric unit holds Pr at (0.3333, 0.6667, 0.2500), Tm at (0.1935, 0.3870, 0.7500) and In at (0.0000, 0.0000, 0.0000).

Entry 6:
The following is a GGA-PBE calculation of a geometry-optimized PrTm6In structure, from the Alexandria database.

Its total energy is -4.39 eV per atom. The energy relative to the lowest polymorph listed for this composition comes out at 0.000 eV per atom.

The space group is P4/mmm (No. 123) and the conventional cell measures 4.877, 4.877 and 9.918 Å, with angles of 90.00, 90.00 and 90.00 degrees. The asymmetric unit holds Pr at (0.000, 0.000, 0.000), Tm at (0.000, 0.500, 0.258), Tm at (0.500, 0.500, 0.000), Tm at (0.500, 0.500, 0.500) and In at (0.000, 0.000, 0.500).

Entry 7:
The following is a GGA-PBE calculation of a geometry-optimized Pr9Tm4In11 structure, from the Alexandria database.

Its total energy is -4.19 eV per atom.

The space group is Cmmm (No. 65) and the conventional cell measures 17.790, 22.256 and 3.508 Å, with angles of 90.00, 90.00 and 90.00 degrees. The asymmetric unit holds Pr at (0.000, 0.000, 0.000), Pr at (0.113, 0.245, 0.000), Pr at (0.129, 0.416, 0.000), Tm at (0.149, 0.091, 0.000), In at (0.000, 0.134, 0.500), In at (0.000, 0.340, 0.500), In at (0.000, 0.500, 0.500), In at (0.245, 0.000, 0.500) and In at (0.247, 0.321, 0.500).

Entry 8:
The following is a GGA-PBE calculation of a geometry-optimized Pr2TmIn3 structure, from the Alexandria database.

Its total energy is -4.18 eV per atom. The energy relative to the lowest polymorph listed for this composition comes out at 0.000 eV per atom.

The space group is P4/mmm (No. 123) and the conventional cell measures 3.813, 3.813 and 11.699 Å, with angles of 90.00, 90.00 and 90.00 degrees. The asymmetric unit holds Pr at (0.000, 0.000, 0.174), Tm at (0.000, 0.000, 0.500), In at (0.500, 0.500, 0.000) and In at (0.500, 0.500, 0.350).

Entry 9:
The following is a GGA-PBE calculation of a geometry-optimized Pr7Tm12In structure, from the Alexandria database.

Its total energy is -4.32 eV per atom.

The space group is R-3 (No. 148, hexagonal axes) and the conventional cell measures 12.2219, 12.2219 and 15.3430 Å, with angles of 90.00, 90.00 and 120.00 degrees. The asymmetric unit holds Pr at (0.0000, 0.0000, 0.0000), Pr at (0.0092, 0.5777, 0.7056), Tm at (0.0333, 0.8472, 0.8080), Tm at (0.0703, 0.2580, 0.4225) and In at (0.0000, 0.0000, 0.5000).

Entry 10:
The following is a GGA-PBE calculation of a geometry-optimized Pr5Tm2In2 structure, from the Alexandria database.

Its total energy is -4.28 eV per atom.

The space group is Ima2 (No. 46) and the conventional cell measures 19.812, 8.413 and 7.178 Å, with angles of 90.00, 90.00 and 90.00 degrees. The asymmetric unit holds Pr at (0.106, 0.239, 0.000), Pr at (0.160, 0.747, 0.998), Pr at (0.250, 0.046, 0.249), Tm at (0.000, 0.000, 0.732), Tm at (0.250, 0.064, 0.749) and In at (0.042, 0.626, 0.748).

Entry 11:
The following is a GGA-PBE calculation of a geometry-optimized Pr5Tm8In structure, from the Alexandria database.

Its total energy is -4.36 eV per atom.

The space group is C2 (No. 5) and the conventional cell measures 15.174, 8.369 and 8.584 Å, with angles of 90.00, 122.75 and 90.00 degrees. The asymmetric unit holds Pr at (0.000, 0.000, 0.000), Pr at (0.050, 0.337, 0.282), Pr at (0.102, 0.670, 0.961), Tm at (0.129, 0.053, 0.678), Tm at (0.180, 0.451, 0.718), Tm at (0.185, 0.740, 0.429), Tm at (0.191, 0.272, 0.068) and In at (0.000, 0.713, 0.500).

Entry 12:
The following is a GGA-PBE calculation of a geometry-optimized Pr12Tm6In structure, from the Alexandria database.

Its total energy is -4.49 eV per atom. The energy relative to the lowest polymorph listed for this composition comes out at 0.030 eV per atom.

The space group is R-3 (No. 148, hexagonal axes) and the conventional cell measures 13.2478, 13.2478 and 12.8478 Å, with angles of 90.00, 90.00 and 120.00 degrees. The asymmetric unit holds Pr at (0.0007, 0.7416, 0.0003), Pr at (0.0614, 0.5304, 0.1099), Tm at (0.0881, 0.9107, 0.7735) and In at (0.0000, 0.0000, 0.0000).

Entry 13:
The following is a GGA-PBE calculation of a geometry-optimized Pr4TmIn5 structure, from the Alexandria database.

Its total energy is -4.21 eV per atom.

The space group is P4/mmm (No. 123) and the conventional cell measures 3.835, 3.835 and 19.671 Å, with angles of 90.00, 90.00 and 90.00 degrees. The asymmetric unit holds Pr at (0.000, 0.000, 0.103), Pr at (0.000, 0.000, 0.308), Tm at (0.000, 0.000, 0.500), In at (0.500, 0.500, 0.000), In at (0.500, 0.500, 0.205) and In at (0.500, 0.500, 0.412).

Entry 14:
The following is a GGA-PBE calculation of a geometry-optimized Pr5TmIn3 structure, from the Alexandria database.

Its total energy is -4.40 eV per atom.

The space group is P6_3/mcm (No. 193) and the conventional cell measures 9.6253, 9.6253 and 6.9385 Å, with angles of 90.00, 90.00 and 120.00 degrees. The asymmetric unit holds Pr at (0.0000, 0.3384, 0.2500), Pr at (0.3333, 0.6667, 0.0000), Tm at (0.0000, 0.0000, 0.0000) and In at (0.0000, 0.3227, 0.7500).

Entry 15:
The following is a GGA-PBE calculation of a geometry-optimized Pr5TmIn6 structure, from the Alexandria database.

Its total energy is -4.21 eV per atom.

The space group is Immm (No. 71) and the conventional cell measures 5.486, 7.720 and 16.440 Å, with angles of 90.00, 90.00 and 90.00 degrees. The asymmetric unit holds Pr at (0.000, 0.000, 0.000), Pr at (0.000, 0.000, 0.326), Pr at (0.000, 0.500, 0.337), Tm at (0.000, 0.500, 0.000), In at (0.000, 0.231, 0.500) and In at (0.000, 0.260, 0.162).

Entry 16:
The following is a GGA-PBE calculation of a geometry-optimized Pr4TmIn3 structure, from the Alexandria database.

Its total energy is -4.32 eV per atom. The energy relative to the lowest polymorph listed for this composition comes out at 0.000 eV per atom.

The space group is Immm (No. 71) and the conventional cell measures 4.988, 4.993 and 19.256 Å, with angles of 90.00, 90.00 and 90.00 degrees. The asymmetric unit holds Pr at (0.000, 0.000, 0.130), Pr at (0.000, 0.000, 0.369), Tm at (0.000, 0.500, 0.500), In at (0.000, 0.500, 0.000) and In at (0.000, 0.500, 0.249).

Entry 17:
The following is a GGA-PBE calculation of a geometry-optimized Pr8TmIn2 structure, from the Alexandria database.

Its total energy is -4.53 eV per atom.

The space group is C2/m (No. 12) and the conventional cell measures 17.856, 5.192 and 8.375 Å, with angles of 90.00, 109.63 and 90.00 degrees. The asymmetric unit holds Pr at (0.053, 0.000, 0.238), Pr at (0.101, 0.500, 0.966), Pr at (0.143, 0.000, 0.704), Pr at (0.186, 0.500, 0.445), Tm at (0.000, 0.500, 0.500) and In at (0.225, 0.000, 0.140).

Entry 18:
The following is a GGA-PBE calculation of a geometry-optimized Pr2Tm8In structure, from the Alexandria database.

Its total energy is -4.42 eV per atom.

The space group is C2/m (No. 12) and the conventional cell measures 17.967, 4.916 and 7.805 Å, with angles of 90.00, 105.12 and 90.00 degrees. The asymmetric unit holds Pr at (0.221, 0.000, 0.134), Tm at (0.044, 0.000, 0.224), Tm at (0.088, 0.500, 0.943), Tm at (0.133, 0.000, 0.672), Tm at (0.180, 0.500, 0.409) and In at (0.000, 0.500, 0.500).

Entry 19:
The following is a GGA-PBE calculation of a geometry-optimized PrTm5In4 structure, from the Alexandria database.

Its total energy is -4.16 eV per atom.

The space group is P4/mmm (No. 123) and the conventional cell measures 3.522, 3.522 and 21.816 Å, with angles of 90.00, 90.00 and 90.00 degrees. The asymmetric unit holds Pr at (0.000, 0.000, 0.000), Tm at (0.500, 0.500, 0.120), Tm at (0.500, 0.500, 0.309), Tm at (0.500, 0.500, 0.500), In at (0.000, 0.000, 0.214) and In at (0.000, 0.000, 0.405).

Entry 20:
The following is a GGA-PBE calculation of a geometry-optimized PrTmIn3 structure, from the Alexandria database.

Its total energy is -3.93 eV per atom. The energy relative to the lowest polymorph listed for this composition comes out at 0.000 eV per atom.

The space group is Cmcm (No. 63) and the conventional cell measures 3.721, 29.597 and 4.924 Å, with angles of 90.00, 90.00 and 90.00 degrees. The asymmetric unit holds Pr at (0.000, 0.075, 0.250), Tm at (0.000, 0.214, 0.750), In at (0.000, 0.319, 0.750), In at (0.000, 0.376, 0.250) and In at (0.000, 0.475, 0.250).

What are the M_tot values for these records? In order: 0.01; 0.00; 2.52; 0.00; 0.00; 0.00; 1.40; 0.00; 0.01; 0.00; 0.00; 0.00; 0.00; 0.49; 0.00; 0.00; 0.00; 0.00; 0.02; 0.65 μB/cell.
What are the ΔE_f values for these records? In order: -0.339; 0.128; -0.215; -0.327; 0.065; -0.096; -0.398; -0.476; 0.170; -0.027; 0.100; 0.089; -0.484; -0.340; -0.481; -0.345; -0.146; -0.053; -0.351; -0.437 eV per atom.
What are the V values for these records? In order: 27.8; 34.0; 34.2; 30.5; 32.8; 29.5; 28.9; 28.3; 33.1; 33.2; 32.7; 34.3; 28.9; 30.9; 29.0; 30.0; 33.2; 30.2; 27.1; 27.1 Å³/atom.